No. 1
VASP calculation (PBE-GGA) on a relaxed Ho4GaSn3 crystal.

The total magnetization comes out at 0.0 μB per cell. The value obtained for the total energy is -4.864 eV per atom.

Lattice parameters (Å, degrees): 4.207 4.467 11.236 90.00 90.00 90.00
Fractional positions:
Ho: 0.000 0.000 0.000
Ho: 0.000 0.500 0.487
Ho: 0.500 0.000 0.718
Ho: 0.500 0.500 0.222
Ga: 0.000 0.000 0.267
Sn: 0.000 0.500 0.761
Sn: 0.500 0.000 0.436
Sn: 0.500 0.500 0.949

No. 2
VASP calculation (PBE-GGA) on a relaxed Ho6Ga2Sn crystal.

The total magnetization comes out at 0.0 μB per cell. The value obtained for the total energy is -4.654 eV per atom.

Lattice parameters (Å, degrees): 8.590 8.590 8.590 112.40 112.01 104.14
Fractional positions:
Ho: 0.024 0.821 0.202
Ho: 0.240 0.537 0.297
Ho: 0.240 0.943 0.703
Ho: 0.277 0.316 0.594
Ho: 0.277 0.684 0.961
Ho: 0.381 0.179 0.202
Ho: 0.619 0.821 0.798
Ho: 0.723 0.316 0.039
Ho: 0.723 0.684 0.406
Ho: 0.760 0.057 0.297
Ho: 0.760 0.463 0.703
Ho: 0.976 0.179 0.798
Ga: 0.000 0.146 0.146
Ga: 0.000 0.854 0.854
Ga: 0.380 0.380 0.000
Ga: 0.620 0.620 0.000
Sn: 0.000 0.500 0.500
Sn: 0.500 0.000 0.500

No. 3
VASP calculation (PBE-GGA) on a relaxed Ho2GaSn4 crystal.

The total magnetization comes out at 0.0 μB per cell. The value obtained for the total energy is -4.441 eV per atom. The offset from the most stable computed form is 6 meV/atom.

Lattice parameters (Å, degrees): 4.410 4.410 9.347 90.00 90.00 90.00
Fractional positions:
Ho: 0.000 0.500 0.235
Ho: 0.500 0.000 0.765
Ga: 0.500 0.500 0.000
Sn: 0.000 0.000 0.500
Sn: 0.000 0.500 0.820
Sn: 0.500 0.000 0.180
Sn: 0.500 0.500 0.500